Record 1
! BSeSI2, relaxed, DFT PBE; values from VASP
&SYSTEM
  ibrav = 0, nat = 5, ntyp = 4
/
ATOMIC_SPECIES
S 32.06 S.upf
Se 78.96 Se.upf
B 10.81 B.upf
I 126.90 I.upf
CELL_PARAMETERS angstrom
-3.302 -1.073 -4.618
-2.486 -1.906 2.220
-2.913 4.899 0.945
ATOMIC_POSITIONS angstrom
S 0.000 0.000 0.000
Se -4.350 0.960 -0.727
B -1.243 -0.953 1.110
I -1.457 2.449 0.472
I -1.651 -0.537 -2.309
! Energy (eV per atom): -2.344
! Space-group type: P4/mmm, No. 123

Record 2
! Sm8BS3I4, relaxed, DFT PBE; values from VASP
&SYSTEM
  ibrav = 0, nat = 16, ntyp = 4
/
ATOMIC_SPECIES
Sm 150.36 Sm.upf
S 32.06 S.upf
I 126.90 I.upf
B 10.81 B.upf
CELL_PARAMETERS angstrom
8.190 0.000 0.000
0.000 8.906 0.511
-4.095 -4.098 5.789
ATOMIC_POSITIONS angstrom
Sm 6.250 2.683 0.375
Sm 4.095 4.207 2.978
Sm 0.000 4.281 2.879
Sm 0.000 0.600 3.322
Sm 4.095 0.526 3.421
Sm -2.155 2.125 5.925
Sm 2.155 2.125 5.925
Sm 1.940 2.683 0.375
S -2.048 2.404 3.150
S 2.048 2.404 3.150
S 4.095 4.453 0.256
I 2.048 -2.049 2.894
I -2.048 -2.049 2.894
I 0.000 0.000 0.000
I 4.095 0.000 0.000
B 0.000 4.453 0.256
! Energy (eV per atom): -5.216
! Space-group type: R-3m, No. 166

Record 3
! Sm4BSI2, relaxed, DFT PBE; values from VASP
&SYSTEM
  ibrav = 0, nat = 8, ntyp = 4
/
ATOMIC_SPECIES
Sm 150.36 Sm.upf
I 126.90 I.upf
B 10.81 B.upf
S 32.06 S.upf
CELL_PARAMETERS angstrom
4.059 0.000 0.000
0.000 7.069 0.117
0.000 -2.493 7.561
ATOMIC_POSITIONS angstrom
Sm 2.030 1.021 1.391
Sm 0.000 -0.263 6.213
Sm 2.030 3.555 6.288
Sm 0.000 4.839 1.466
I 0.000 2.288 3.839
I 2.030 -1.246 3.780
B 0.000 0.000 0.000
S 2.030 3.534 0.059
! Energy (eV per atom): -5.191
! Space-group type: P2/m, No. 10

Record 4
! BTeS2I, relaxed, DFT PBE; values from VASP
&SYSTEM
  ibrav = 0, nat = 5, ntyp = 4
/
ATOMIC_SPECIES
Te 127.60 Te.upf
S 32.06 S.upf
B 10.81 B.upf
I 126.90 I.upf
CELL_PARAMETERS angstrom
-3.950 -0.500 -3.096
-2.007 -4.724 3.323
-2.664 3.163 2.888
ATOMIC_POSITIONS angstrom
Te 0.000 0.000 0.000
S -1.332 1.581 1.444
S -1.975 -0.250 -1.548
B -4.310 -1.030 1.557
I -1.003 -2.362 1.661
! Energy (eV per atom): -2.604
! Space-group type: P4/mmm, No. 123

Record 5
! TlBS2I, relaxed, DFT PBE; values from VASP
&SYSTEM
  ibrav = 0, nat = 5, ntyp = 4
/
ATOMIC_SPECIES
Tl 204.38 Tl.upf
B 10.81 B.upf
S 32.06 S.upf
I 126.90 I.upf
CELL_PARAMETERS angstrom
-4.825 -2.257 0.909
1.962 -3.837 0.891
0.335 1.382 5.213
ATOMIC_POSITIONS angstrom
Tl 0.000 0.000 0.000
B 0.981 -1.918 0.445
S 0.168 0.691 2.607
S -2.412 -1.128 0.454
I -1.263 -2.356 3.506
! Energy (eV per atom): -2.452
! Space-group type: P4/mmm, No. 123

Record 6
! ZnBS2I, relaxed, DFT PBE; values from VASP
&SYSTEM
  ibrav = 0, nat = 5, ntyp = 4
/
ATOMIC_SPECIES
I 126.90 I.upf
Zn 65.41 Zn.upf
S 32.06 S.upf
B 10.81 B.upf
CELL_PARAMETERS angstrom
4.015 0.000 0.000
0.000 7.215 0.000
0.000 0.000 4.015
ATOMIC_POSITIONS angstrom
I 2.008 3.607 2.008
Zn 0.000 3.607 0.000
S 2.008 0.000 0.000
S 0.000 0.000 2.008
B 0.000 0.000 0.000
! Energy (eV per atom): -3.023
! Space-group type: P4/mmm, No. 123

Record 7
! BSb3I, relaxed, DFT PBE; values from VASP
&SYSTEM
  ibrav = 0, nat = 5, ntyp = 3
/
ATOMIC_SPECIES
I 126.90 I.upf
Sb 121.76 Sb.upf
B 10.81 B.upf
CELL_PARAMETERS angstrom
5.799 0.000 0.000
0.000 5.799 0.000
0.000 0.000 5.799
ATOMIC_POSITIONS angstrom
I 0.000 0.000 0.000
Sb 2.899 0.000 0.000
Sb 0.000 0.000 2.899
Sb 0.000 2.899 0.000
B 2.899 2.899 2.899
! ΔE to the lowest computed polymorph (meV per atom): 1240
! Energy (eV per atom): -2.099
! Space-group type: Pm-3m, No. 221

Record 8
! BSbI2, relaxed, DFT PBE; values from VASP
&SYSTEM
  ibrav = 0, nat = 4, ntyp = 3
/
ATOMIC_SPECIES
B 10.81 B.upf
I 126.90 I.upf
Sb 121.76 Sb.upf
CELL_PARAMETERS angstrom
4.473 -2.753 -0.999
-0.277 -5.197 -1.224
1.077 -1.636 -4.975
ATOMIC_POSITIONS angstrom
B 0.000 0.000 0.000
I 1.318 -2.396 -1.799
I 3.954 -7.189 -5.398
Sb 2.636 -4.793 -3.599
! ΔE to the lowest computed polymorph (meV per atom): 126
! Energy (eV per atom): -2.233
! Space-group type: Fm-3m, No. 225

Record 9
! BSbI3, relaxed, DFT PBE; values from VASP
&SYSTEM
  ibrav = 0, nat = 5, ntyp = 3
/
ATOMIC_SPECIES
B 10.81 B.upf
Sb 121.76 Sb.upf
I 126.90 I.upf
CELL_PARAMETERS angstrom
-1.065 -3.327 -3.796
5.043 -0.879 -0.644
-0.232 -3.844 3.433
ATOMIC_POSITIONS angstrom
B 0.000 0.000 0.000
Sb 1.873 -4.025 -0.503
I -0.532 -1.664 -1.898
I -0.116 -1.922 1.717
I 2.521 -0.440 -0.322
! ΔE to the lowest computed polymorph (meV per atom): 0
! Energy (eV per atom): -2.317
! Space-group type: Pm-3m, No. 221

Record 10
! BSbI3, relaxed, DFT PBE; values from VASP
&SYSTEM
  ibrav = 0, nat = 5, ntyp = 3
/
ATOMIC_SPECIES
I 126.90 I.upf
B 10.81 B.upf
Sb 121.76 Sb.upf
CELL_PARAMETERS angstrom
-0.231 4.051 4.478
-2.469 -4.153 3.629
5.511 -1.691 1.814
ATOMIC_POSITIONS angstrom
I -0.116 2.026 2.239
I 2.755 -0.846 0.907
I -1.235 -2.077 1.815
B 1.405 -0.897 4.961
Sb 0.000 0.000 0.000
! ΔE to the lowest computed polymorph (meV per atom): 208
! Energy (eV per atom): -2.109
! Space-group type: Pm-3m, No. 221

Record 11
! BSb3I, relaxed, DFT PBE; values from VASP
&SYSTEM
  ibrav = 0, nat = 5, ntyp = 3
/
ATOMIC_SPECIES
Sb 121.76 Sb.upf
B 10.81 B.upf
I 126.90 I.upf
CELL_PARAMETERS angstrom
5.015 0.000 0.000
0.000 5.015 0.000
0.000 0.000 5.015
ATOMIC_POSITIONS angstrom
Sb 0.000 0.000 2.508
Sb 0.000 2.508 0.000
Sb 2.508 0.000 0.000
B 0.000 0.000 0.000
I 2.508 2.508 2.508
! ΔE to the lowest computed polymorph (meV per atom): 0
! Energy (eV per atom): -3.339
! Space-group type: Pm-3m, No. 221

Record 12
! BSbI2, relaxed, DFT PBE; values from VASP
&SYSTEM
  ibrav = 0, nat = 8, ntyp = 3
/
ATOMIC_SPECIES
I 126.90 I.upf
Sb 121.76 Sb.upf
B 10.81 B.upf
CELL_PARAMETERS angstrom
-0.987 6.123 -4.830
1.441 -4.642 -6.178
-3.344 -0.033 -5.755
ATOMIC_POSITIONS angstrom
I -2.249 0.244 -8.826
I -0.120 -1.766 -6.202
I -2.200 1.557 -13.567
I -1.212 2.860 -4.932
Sb -2.052 3.415 -8.045
Sb 0.000 0.000 0.000
B -0.838 -1.967 -8.719
B 0.227 0.740 -5.504
! ΔE to the lowest computed polymorph (meV per atom): 0
! Energy (eV per atom): -2.359
! Space-group type: I-42d, No. 122

Record 13
! SiBSb2I, relaxed, DFT PBE; values from VASP
&SYSTEM
  ibrav = 0, nat = 5, ntyp = 4
/
ATOMIC_SPECIES
B 10.81 B.upf
Si 28.09 Si.upf
Sb 121.76 Sb.upf
I 126.90 I.upf
CELL_PARAMETERS angstrom
4.927 0.000 0.000
0.000 4.927 0.000
0.000 0.000 4.785
ATOMIC_POSITIONS angstrom
B 0.000 0.000 0.000
Si 2.464 2.464 2.392
Sb 0.000 2.464 0.000
Sb 2.464 0.000 0.000
I 0.000 0.000 2.392
! ΔE to the lowest computed polymorph (meV per atom): 0
! Energy (eV per atom): -3.337
! Space-group type: P4/mmm, No. 123

Record order is preserved below.
Calculated volume: 25.6; 27.5; 27.3; 31.1; 25.7; 23.3; 39.0; 27.0; 27.5; 44.1; 25.2; 28.3; 23.2 Å³ per atom
Record order is preserved below.
Energy relative to the elements, uncorrected: 547; -1972; -844; 637; 636; 255; 975; 479; 373; 473; 376; 431; 503 kJ/mol of formula units